No. 1
Density functional theory data (PBE) for crystalline GaPt at its relaxed geometry.

Geometry as POSCAR:
```
GaPt
1.0
7.116 0.000 0.000
-3.558 6.163 0.000
0.000 0.000 4.848
Ga Pt
6 6
direct
0.080 0.319 0.250
0.239 0.920 0.250
0.319 0.239 0.750
0.681 0.761 0.250
0.761 0.080 0.750
0.920 0.681 0.750
0.098 0.441 0.750
0.343 0.902 0.750
0.441 0.343 0.250
0.559 0.657 0.750
0.657 0.098 0.250
0.902 0.559 0.250
```

Energy = -60.365 eV/cell
Space group = No. 176
DFT formation energy = -0.497 eV/atom


No. 2
Density functional theory data (PBE) for crystalline Mn2IrSe at its relaxed geometry.

Geometry as POSCAR:
```
Mn2IrSe
1.0
4.505 0.000 0.000
0.000 4.505 0.000
0.000 0.000 2.965
Mn Ir Se
2 1 1
direct
0.000 0.500 0.000
0.500 0.000 0.000
0.000 0.000 0.500
0.500 0.500 0.500
```

Energy = -29.934 eV/cell
Space group = No. 123
Formation energy without anion corrections = 0.75 eV per formula unit


No. 3
Density functional theory data (PBE) for crystalline Pr4CuTc at its relaxed geometry.

Geometry as POSCAR:
```
Pr4CuTc
1.0
4.517 -6.479 0.000
4.517 6.479 0.000
-2.630 0.000 5.811
Pr Cu Tc
8 2 2
direct
0.070 0.713 0.936
0.220 0.366 0.652
0.287 0.930 0.564
0.366 0.220 0.152
0.634 0.780 0.848
0.713 0.070 0.436
0.780 0.634 0.348
0.930 0.287 0.064
0.376 0.624 0.250
0.624 0.376 0.750
0.001 0.999 0.250
0.999 0.001 0.750
```

Energy = -67.193 eV/cell
Space group = No. 15
DFT formation energy = -0.003 eV/atom


No. 4
Density functional theory data (PBE) for crystalline Zn5PtRh4 at its relaxed geometry.

Geometry as POSCAR:
```
Zn5PtRh4
1.0
3.035 0.000 0.000
0.000 3.035 0.000
0.000 0.000 15.133
Zn Pt Rh
5 1 4
direct
0.000 0.000 0.000
0.000 0.000 0.198
0.000 0.000 0.395
0.000 0.000 0.605
0.000 0.000 0.802
0.500 0.500 0.500
0.500 0.500 0.099
0.500 0.500 0.298
0.500 0.500 0.702
0.500 0.500 0.901
```

Energy = -46.091 eV/cell
Space group = No. 123
DFT formation energy = -0.427 eV/atom


No. 5
Density functional theory data (PBE) for crystalline Cd3SeS2 at its relaxed geometry.

Geometry as POSCAR:
```
Cd3SeS2
1.0
0.000 12.761 6.013
4.252 0.000 6.013
4.252 12.761 0.000
Cd Se S
12 4 8
direct
0.084 0.909 0.078
0.172 0.321 0.166
0.253 0.747 0.254
0.321 0.172 0.341
0.418 0.568 0.416
0.504 0.996 0.503
0.568 0.418 0.597
0.653 0.834 0.682
0.747 0.253 0.746
0.834 0.653 0.832
0.909 0.084 0.929
0.996 0.504 0.997
0.039 0.706 0.297
0.291 0.953 0.544
0.706 0.039 0.959
0.953 0.291 0.211
0.121 0.121 0.379
0.206 0.538 0.462
0.371 0.371 0.629
0.456 0.788 0.712
0.538 0.206 0.794
0.621 0.621 0.879
0.788 0.456 0.044
0.871 0.871 0.129
```

Energy = -73.099 eV/cell
Space group = No. 43
Formation energy without anion corrections = -3.79 eV per formula unit


No. 6
Density functional theory data (PBE) for crystalline RbIn4Au at its relaxed geometry.

Geometry as POSCAR:
```
RbIn4Au
1.0
9.093 0.000 0.000
0.000 4.404 0.000
0.000 0.000 9.097
Rb In Au
2 8 2
direct
0.250 0.000 0.081
0.750 0.000 0.919
0.000 0.000 0.500
0.060 0.500 0.774
0.250 0.500 0.425
0.440 0.500 0.774
0.500 0.000 0.500
0.560 0.500 0.226
0.750 0.500 0.575
0.940 0.500 0.226
0.250 0.000 0.680
0.750 0.000 0.320
```

Relative energy among the computed polymorphs = 0.0 kJ per mole of atoms
Energy = -32.285 eV/cell
Space group = No. 51
DFT formation energy = -0.157 eV/atom